LaPmEr PBE-GGA relaxed; ρ = 7.4 g/cm3; ΔE_f = 0.022 eV per atom; E above lowest polymorph = 0 meV per atom; DFT total energy = -14.17 eV per cell; DOS at the Fermi energy = 1.427 states/eV/atom; space-group type = P3m1; crystal system = trigonal
1.0
1.7620 2.7138 1.6539
-3.1493 -1.2107 1.3496
4.4136 -5.9107 4.9966
La Pm Er
1 1 1
direct
0.3333 0.6667 0.1093 La
0.0000 0.0000 0.4554 Pm
0.6667 0.3333 0.7778 Er